# 1
DFT (GGA-PBE) results for ScAlCu2Ru after structural relaxation.

abc: 4.2789 4.2789 5.0469
angles: 90.00 90.00 90.00
Last column: nearest neighbours and their distance in Å.
Element x y z (fractional)
Sc 0.0000 0.0000 0.0000  2 Al 2.52
Al 0.0000 0.0000 0.5000  4 Cu 2.14
Cu 0.0000 0.5000 0.5000  2 Al 2.14
Cu 0.5000 0.0000 0.5000  2 Al 2.14
Ru 0.5000 0.5000 0.0000  4 Sc 3.03, 8 Cu 3.31

Summary:
- Fermi-level density of states: 2.6 states/eV per cell
- DFT total energy: -4.61 eV/atom
- Space group: P4/mmm, No. 123
- Formation energy: 0.901 eV/atom

# 2
DFT (GGA-PBE) results for ScAlCuRu after structural relaxation.

abc: 3.2365 4.2542 4.3817
angles: 90.00 90.00 90.00
Last column: nearest neighbours and their distance in Å.
Element x y z (fractional)
Sc 0.0000 0.0000 0.0000  4 Ru 2.67, 4 Cu 2.72
Al 0.0000 0.5000 0.5000  4 Cu 2.67, 4 Ru 2.72
Cu 0.5000 0.0000 0.5000  4 Al 2.67, 4 Sc 2.72
Ru 0.5000 0.5000 0.0000  4 Sc 2.67, 4 Al 2.72

Summary:
- Fermi-level density of states: 2.3 states/eV per cell
- DFT total energy: -6.34 eV/atom
- Distance to the lowest polymorph of the same formula: 0.00 kJ per mole of atoms
- Space group: Pmmm, No. 47
- Formation energy: -0.479 eV/atom

# 3
DFT (GGA-PBE) results for TaAlCuRu after structural relaxation.

abc: 4.3657 4.3657 4.3657
angles: 60.00 60.00 60.00
Last column: nearest neighbours and their distance in Å.
Element x y z (fractional)
Ta 0.0000 0.0000 0.0000  4 Ru 2.67, 4 Cu 2.67
Al 0.5000 0.5000 0.5000  4 Ru 2.67, 4 Cu 2.67
Cu 0.2500 0.2500 0.2500  4 Ta 2.67, 4 Al 2.67
Ru 0.7500 0.7500 0.7500  4 Ta 2.67, 4 Al 2.67

Summary:
- Fermi-level density of states: 4.0 states/eV per cell
- DFT total energy: -7.56 eV/atom
- Space group: F-43m, No. 216
- Formation energy: -0.314 eV/atom

# 4
DFT (GGA-PBE) results for TmAlCuRu after structural relaxation.

abc: 4.5270 4.5270 4.5270
angles: 60.00 60.00 60.00
Last column: nearest neighbours and their distance in Å.
Element x y z (fractional)
Tm 0.0000 0.0000 0.0000  4 Cu 2.77, 4 Ru 2.77
Al 0.5000 0.5000 0.5000  4 Ru 2.77, 4 Cu 2.77
Cu 0.7500 0.7500 0.7500  4 Al 2.77, 4 Tm 2.77
Ru 0.2500 0.2500 0.2500  4 Al 2.77, 4 Tm 2.77

Summary:
- Fermi-level density of states: 2.6 states/eV per cell
- DFT total energy: -5.76 eV/atom
- Space group: F-43m, No. 216
- Formation energy: -0.366 eV/atom